Model 1:
First-principles (PBE) data for a relaxed HfCoSiTc crystal, as listed in the Open Quantum Materials Database.

Calculated values
Space group = F-43m (216)
V = 14.0 A^3/atom

Cell: 4.299 4.299 4.299 Å, 60.00 60.00 60.00°
Positions (direct):
Tc1 0.250 0.250 0.250
Co1 0.750 0.750 0.750
Hf1 0.500 0.500 0.500
Si1 0.000 0.000 0.000

---

Model 2:
First-principles (PBE) data for a relaxed HfCoSiTc crystal, as listed in the Open Quantum Materials Database.

Calculated values
Space group = F-43m (216)
V = 15.0 A^3/atom

Cell: 4.394 4.394 4.394 Å, 60.00 60.00 60.00°
Positions (direct):
Tc1 0.500 0.500 0.500
Hf1 0.250 0.250 0.250
Si1 0.000 0.000 0.000
Co1 0.750 0.750 0.750

---

Least stable = model 2

---

Model 1:
First-principles (PBE) data for a relaxed CuAg4 crystal, as listed in the Open Quantum Materials Database.

Calculated values
Space group = Cmcm (63)
V = 16.7 A^3/atom

Cell: 10.318 10.318 4.067 Å, 90.00 90.00 157.25°
Positions (direct):
Ag1 0.849 0.151 0.250
Ag2 0.053 0.947 0.250
Cu1 0.651 0.349 0.250
Ag3 0.553 0.447 0.750
Cu2 0.349 0.651 0.750
Ag4 0.947 0.053 0.750
Ag5 0.250 0.750 0.250
Ag6 0.447 0.553 0.250
Ag7 0.750 0.250 0.750
Ag8 0.151 0.849 0.750

---

Model 2:
First-principles (PBE) data for a relaxed CuAg4 crystal, as listed in the Open Quantum Materials Database.

Calculated values
Space group = R-3m (166)
V = 16.7 A^3/atom

Cell: 23.008 23.008 23.008 Å, 7.23 7.23 7.23°
Positions (direct):
Ag1 0.500 0.500 0.500
Ag2 0.201 0.201 0.201
Cu1 0.698 0.698 0.698
Ag3 0.799 0.799 0.799
Ag4 0.903 0.903 0.903
Ag5 0.395 0.395 0.395
Ag6 0.097 0.097 0.097
Cu2 0.302 0.302 0.302
Ag7 0.000 0.000 0.000
Ag8 0.605 0.605 0.605

---

Least stable = model 1

---

Model 1:
First-principles (PBE) data for a relaxed SmBeNO crystal, as listed in the Open Quantum Materials Database.

Calculated values
Space group = Pmc2_1 (26)
V = 11.6 A^3/atom

Cell: 3.272 5.322 5.348 Å, 90.00 90.00 90.00°
Positions (direct):
N1 0.000 0.261 0.518
Sm1 0.500 0.514 0.723
Be1 0.000 0.500 0.310
O1 0.500 0.978 0.847
O2 0.500 0.478 0.153
Sm2 0.500 0.014 0.277
Be2 0.000 0.000 0.690
N2 0.000 0.761 0.482

---

Model 2:
First-principles (PBE) data for a relaxed SmBeNO crystal, as listed in the Open Quantum Materials Database.

Calculated values
Space group = Pca2_1 (29)
V = 11.0 A^3/atom

Cell: 5.388 6.568 4.965 Å, 90.00 90.00 90.00°
Positions (direct):
O1 0.995 0.850 0.503
O2 0.495 0.150 0.503
Be1 0.583 0.596 0.012
O3 0.005 0.150 0.003
N1 0.156 0.486 0.694
Sm1 0.542 0.216 0.993
Sm2 0.042 0.784 0.993
N2 0.656 0.514 0.694
N3 0.344 0.486 0.194
O4 0.505 0.850 0.003
Be2 0.917 0.596 0.512
Be3 0.083 0.404 0.012
N4 0.844 0.514 0.194
Sm3 0.458 0.784 0.493
Be4 0.417 0.404 0.512
Sm4 0.958 0.216 0.493

---

Least stable = model 2

---

Model 1:
First-principles (PBE) data for a relaxed SrHfAsO crystal, as listed in the Open Quantum Materials Database.

Calculated values
Space group = P4/nmm (129)
V = 23.4 A^3/atom

Cell: 4.498 4.498 9.254 Å, 90.00 90.00 90.00°
Positions (direct):
Hf1 0.750 0.250 0.500
Sr1 0.250 0.250 0.097
Hf2 0.250 0.750 0.500
Sr2 0.750 0.750 0.903
O1 0.750 0.250 0.000
As1 0.750 0.750 0.347
As2 0.250 0.250 0.653
O2 0.250 0.750 0.000

---

Model 2:
First-principles (PBE) data for a relaxed SrHfAsO crystal, as listed in the Open Quantum Materials Database.

Calculated values
Space group = Pmc2_1 (26)
V = 24.9 A^3/atom

Cell: 4.502 7.086 6.248 Å, 90.00 90.00 90.00°
Positions (direct):
As1 0.000 0.765 0.431
Hf1 0.500 0.405 0.029
Sr1 0.000 0.795 0.938
O1 0.500 0.358 0.355
Hf2 0.500 0.595 0.529
As2 0.000 0.235 0.931
Sr2 0.000 0.205 0.438
O2 0.500 0.642 0.855

---

Least stable = model 1

---

Model 1:
First-principles (PBE) data for a relaxed CoSnWAu crystal, as listed in the Open Quantum Materials Database.

Calculated values
Space group = F-43m (216)
V = 16.5 A^3/atom

Cell: 4.532 4.532 4.532 Å, 60.00 60.00 60.00°
Positions (direct):
W1 0.500 0.500 0.500
Co1 0.750 0.750 0.750
Au1 0.250 0.250 0.250
Sn1 0.000 0.000 0.000

---

Model 2:
First-principles (PBE) data for a relaxed CoSnWAu crystal, as listed in the Open Quantum Materials Database.

Calculated values
Space group = F-43m (216)
V = 16.6 A^3/atom

Cell: 4.541 4.541 4.541 Å, 60.00 60.00 60.00°
Positions (direct):
W1 0.250 0.250 0.250
Sn1 0.000 0.000 0.000
Co1 0.750 0.750 0.750
Au1 0.500 0.500 0.500

---

Least stable = model 1

---

Model 1:
First-principles (PBE) data for a relaxed AcTmNO crystal, as listed in the Open Quantum Materials Database.

Calculated values
Space group = Pmc2_1 (26)
V = 19.8 A^3/atom

Cell: 4.055 5.508 7.094 Å, 90.00 90.00 90.00°
Positions (direct):
Ac1 0.500 0.456 0.833
N1 0.000 0.378 0.637
O1 0.500 0.943 0.786
O2 0.500 0.443 0.214
N2 0.000 0.878 0.363
Tm1 0.000 0.476 0.337
Tm2 0.000 0.976 0.663
Ac2 0.500 0.956 0.167

---

Model 2:
First-principles (PBE) data for a relaxed AcTmNO crystal, as listed in the Open Quantum Materials Database.

Calculated values
Space group = Pmc2_1 (26)
V = 20.3 A^3/atom

Cell: 4.019 5.846 6.926 Å, 90.00 90.00 90.00°
Positions (direct):
Tm1 0.500 0.989 0.176
O1 0.500 0.350 0.112
Tm2 0.500 0.489 0.824
N1 0.000 0.439 0.688
Ac1 0.000 0.976 0.663
N2 0.000 0.939 0.312
O2 0.500 0.850 0.888
Ac2 0.000 0.476 0.337

---

Least stable = model 2

---

Model 1:
First-principles (PBE) data for a relaxed Li3OsO4 crystal, as listed in the Open Quantum Materials Database.

Calculated values
Space group = P2/c (13)
V = 9.1 A^3/atom

Cell: 5.093 5.911 5.118 Å, 90.00 109.84 90.00°
Positions (direct):
Os1 0.000 0.857 0.250
Li1 0.500 0.401 0.750
O1 0.230 0.887 0.002
Li2 0.000 0.382 0.250
O2 0.770 0.113 0.998
Os2 0.000 0.143 0.750
O3 0.244 0.636 0.484
O4 0.770 0.887 0.498
Li3 0.500 0.863 0.750
O5 0.756 0.364 0.516
Li4 0.500 0.599 0.250
Li5 0.000 0.618 0.750
Li6 0.500 0.137 0.250
O6 0.244 0.364 0.984
O7 0.756 0.636 0.016
O8 0.230 0.113 0.502

---

Model 2:
First-principles (PBE) data for a relaxed Li3OsO4 crystal, as listed in the Open Quantum Materials Database.

Calculated values
Space group = Pmmn (59)
V = 10.0 A^3/atom

Cell: 6.857 5.832 4.014 Å, 90.00 90.00 90.00°
Positions (direct):
O1 0.000 0.659 0.938
Os1 0.000 0.340 0.938
O2 0.767 0.176 0.938
Li1 0.256 0.162 0.439
O3 0.500 0.341 0.438
Li2 0.244 0.838 0.939
Li3 0.500 0.313 0.938
Li4 0.744 0.162 0.439
Os2 0.500 0.660 0.438
O4 0.733 0.824 0.438
O5 0.000 0.337 0.438
Li5 0.000 0.687 0.438
O6 0.267 0.824 0.438
O7 0.500 0.663 0.938
O8 0.233 0.176 0.938
Li6 0.756 0.838 0.939

---

Least stable = model 2

---

Model 1:
First-principles (PBE) data for a relaxed Cu7Ag3 crystal, as listed in the Open Quantum Materials Database.

Calculated values
Space group = P-1 (2)
V = 13.7 A^3/atom

Cell: 4.681 5.457 5.903 Å, 76.71 75.67 72.57°
Positions (direct):
Cu1 0.913 0.592 0.205
Cu2 0.316 0.678 0.391
Cu3 0.500 0.500 0.000
Ag1 0.500 0.000 0.000
Cu4 0.700 0.780 0.591
Ag2 0.897 0.104 0.222
Cu5 0.300 0.220 0.409
Ag3 0.103 0.896 0.778
Cu6 0.087 0.408 0.795
Cu7 0.684 0.322 0.609

---

Model 2:
First-principles (PBE) data for a relaxed Cu7Ag3 crystal, as listed in the Open Quantum Materials Database.

Calculated values
Space group = P2/m (10)
V = 13.7 A^3/atom

Cell: 6.652 2.742 7.601 Å, 90.00 99.59 90.00°
Positions (direct):
Cu1 0.244 0.000 0.634
Cu2 0.398 0.000 0.202
Ag1 0.902 0.500 0.666
Ag2 0.000 0.000 0.000
Ag3 0.098 0.500 0.334
Cu3 0.602 0.000 0.798
Cu4 0.677 0.500 0.088
Cu5 0.500 0.500 0.500
Cu6 0.323 0.500 0.912
Cu7 0.756 0.000 0.366

---

Least stable = model 1

---

Model 1:
First-principles (PBE) data for a relaxed Cu7Ag3 crystal, as listed in the Open Quantum Materials Database.

Calculated values
Space group = Cm (8)
V = 13.7 A^3/atom

Cell: 7.174 7.174 5.426 Å, 100.99 100.99 29.92°
Positions (direct):
Cu1 0.993 0.993 0.985
Cu2 0.994 0.994 0.508
Ag1 0.590 0.590 0.295
Cu3 0.399 0.399 0.199
Ag2 0.205 0.205 0.606
Cu4 0.812 0.812 0.407
Cu5 0.404 0.404 0.702
Cu6 0.590 0.590 0.795
Ag3 0.204 0.204 0.098
Cu7 0.811 0.811 0.905

---

Model 2:
First-principles (PBE) data for a relaxed Cu7Ag3 crystal, as listed in the Open Quantum Materials Database.

Calculated values
Space group = P-1 (2)
V = 13.8 A^3/atom

Cell: 4.604 4.701 7.051 Å, 71.75 72.20 81.13°
Positions (direct):
Cu1 0.007 0.778 0.906
Cu2 0.500 0.500 0.000
Cu3 0.989 0.411 0.704
Ag1 0.483 0.101 0.798
Cu4 0.011 0.589 0.296
Ag2 0.517 0.899 0.202
Cu5 0.501 0.683 0.606
Cu6 0.499 0.317 0.394
Ag3 0.000 0.000 0.500
Cu7 0.993 0.222 0.094

---

Least stable = model 2

---

Model 1:
First-principles (PBE) data for a relaxed LiZrAgS3 crystal, as listed in the Open Quantum Materials Database.

Calculated values
Space group = Pnma (62)
V = 21.0 A^3/atom

Cell: 11.201 3.652 12.318 Å, 90.00 90.00 90.00°
Positions (direct):
Li1 0.637 0.250 0.024
S1 0.960 0.750 0.887
S2 0.428 0.250 0.122
Li2 0.363 0.750 0.976
S3 0.572 0.750 0.878
S4 0.928 0.250 0.378
S5 0.753 0.750 0.133
Li3 0.863 0.750 0.524
S6 0.460 0.750 0.613
Ag1 0.776 0.750 0.782
Zr1 0.946 0.750 0.223
S7 0.247 0.250 0.867
Ag2 0.224 0.250 0.218
Zr2 0.554 0.250 0.723
S8 0.747 0.250 0.633
Zr3 0.446 0.750 0.277
S9 0.253 0.750 0.367
S10 0.040 0.250 0.113
S11 0.540 0.250 0.387
Ag3 0.276 0.750 0.718
Ag4 0.724 0.250 0.282
Li4 0.137 0.250 0.476
Zr4 0.054 0.250 0.777
S12 0.072 0.750 0.622

---

Model 2:
First-principles (PBE) data for a relaxed LiZrAgS3 crystal, as listed in the Open Quantum Materials Database.

Calculated values
Space group = Pnma (62)
V = 20.4 A^3/atom

Cell: 12.346 3.705 10.681 Å, 90.00 90.00 90.00°
Positions (direct):
Ag1 0.964 0.250 0.913
S1 0.865 0.250 0.717
Zr1 0.503 0.750 0.832
S2 0.135 0.750 0.283
Ag2 0.464 0.250 0.587
S3 0.365 0.250 0.783
S4 0.619 0.750 0.636
Zr2 0.003 0.750 0.668
S5 0.615 0.250 0.944
S6 0.885 0.750 0.444
Zr3 0.997 0.250 0.332
S7 0.119 0.750 0.864
Zr4 0.497 0.250 0.168
Li1 0.741 0.250 0.541
S8 0.635 0.750 0.217
S9 0.381 0.250 0.364
Ag3 0.036 0.750 0.087
Ag4 0.536 0.750 0.413
Li2 0.241 0.250 0.959
Li3 0.759 0.750 0.041
S10 0.115 0.250 0.556
S11 0.385 0.750 0.056
Li4 0.259 0.750 0.459
S12 0.881 0.250 0.136

---

Least stable = model 1

---

Model 1:
First-principles (PBE) data for a relaxed TmTaBe crystal, as listed in the Open Quantum Materials Database.

Calculated values
Space group = F-43m (216)
V = 22.8 A^3/atom

Cell: 4.589 4.589 4.589 Å, 60.00 60.00 60.00°
Positions (direct):
Tm1 0.000 0.000 0.000
Be1 0.250 0.250 0.250
Ta1 0.750 0.750 0.750

---

Model 2:
First-principles (PBE) data for a relaxed TmTaBe crystal, as listed in the Open Quantum Materials Database.

Calculated values
Space group = F-43m (216)
V = 19.4 A^3/atom

Cell: 4.349 4.349 4.349 Å, 60.00 60.00 60.00°
Positions (direct):
Tm1 0.750 0.750 0.750
Be1 0.000 0.000 0.000
Ta1 0.250 0.250 0.250

---

Least stable = model 1